Density functional theory data (GGA+U) for a geometry-optimized TbV2CrO8 structure.

Unit cell a=5.753 b=5.753 c=5.951 alpha=90.00 beta=90.00 gamma=120.00
Last column: magnetic moment on the atom in μB.
Positions (direct):
O1 0.333 0.667 0.367  -0.02
Cr1 0.000 0.000 0.500  2.98
O2 0.667 0.333 0.633  -0.02
O3 0.159 0.318 0.722  -0.03
O4 0.318 0.159 0.278  -0.03
Tb1 0.000 0.000 0.000  0.01
O5 0.841 0.159 0.278  -0.03
V1 0.333 0.667 0.639  0.06
O6 0.841 0.682 0.278  -0.03
O7 0.682 0.841 0.722  -0.03
V2 0.667 0.333 0.361  0.06
O8 0.159 0.841 0.722  -0.03

Output
calculated total energy = -7.7365 eV/atom
calculated volume = 14.213 Å³ per atom
Fermi-level density of states = 0.0 states/eV per cell
theoretical density = 4.3 g/cm3